LaAsRh2 | GGA-PBEsol | optimized geometry

For the formation energy, the calculation gives -0.739 eV/atom. The total magnetic moment comes out at 0.000 μB/atom. Its uncorrected energy is -7.42 eV/atom.

```
4
Lattice="-0.622 3.594 -1.854 -2.378 -1.844 -2.776 -3.758 0.750 2.721" Properties=species:S:1:pos:R:3 pbc="T T T"
As -2.009 2.570 0.014
Rh -0.721 0.578 0.234
Rh -2.221 1.453 -2.081
La -3.996 0.072 0.357
```